# 1
KTa3Sn | PBE | relaxed

Cell and atoms, written as CIF:
```
data_KTa3Sn
_symmetry_space_group_name_H-M 'P 1'
_symmetry_Int_Tables_number 1
_symmetry_space_group_name_Hall 'P 1'
_cell_length_a 5.211
_cell_length_b 5.211
_cell_length_c 5.211
_cell_angle_alpha 90.00
_cell_angle_beta 90.00
_cell_angle_gamma 90.00
loop_
_atom_site_label
_atom_site_type_symbol
_atom_site_fract_x
_atom_site_fract_y
_atom_site_fract_z
_atom_site_occupancy
K1 K 0.000 0.000 0.000 1
Ta1 Ta 0.000 0.500 0.500 1
Ta2 Ta 0.500 0.000 0.500 1
Ta3 Ta 0.500 0.500 0.000 1
Sn1 Sn 0.500 0.500 0.500 1
```

Properties
Energy relative to the elements: 2085 meV/atom
Symmetry: Pm-3m (221)


# 2
K2TaSn | PBE | relaxed

Cell and atoms, written as CIF:
```
data_K2TaSn
_symmetry_space_group_name_H-M 'P 1'
_symmetry_Int_Tables_number 1
_symmetry_space_group_name_Hall 'P 1'
_cell_length_a 12.737
_cell_length_b 12.737
_cell_length_c 5.471
_cell_angle_alpha 90.00
_cell_angle_beta 90.00
_cell_angle_gamma 90.00
loop_
_atom_site_label
_atom_site_type_symbol
_atom_site_fract_x
_atom_site_fract_y
_atom_site_fract_z
_atom_site_occupancy
K1 K 0.090 0.250 0.125 1
K2 K 0.250 0.590 0.375 1
K3 K 0.250 0.910 0.875 1
K4 K 0.410 0.250 0.625 1
K5 K 0.590 0.750 0.625 1
K6 K 0.750 0.090 0.875 1
K7 K 0.750 0.410 0.375 1
K8 K 0.910 0.750 0.125 1
Ta1 Ta 0.000 0.000 0.500 1
Ta2 Ta 0.000 0.500 0.750 1
Ta3 Ta 0.500 0.000 0.250 1
Ta4 Ta 0.500 0.500 0.000 1
Sn1 Sn 0.000 0.000 0.000 1
Sn2 Sn 0.000 0.500 0.250 1
Sn3 Sn 0.500 0.000 0.750 1
Sn4 Sn 0.500 0.500 0.500 1
```

Properties
Energy relative to the elements: 1042 meV/atom
Symmetry: I-42d (122)


# 3
KTbSn | PBE | relaxed

Cell and atoms, written as CIF:
```
data_KTbSn
_symmetry_space_group_name_H-M 'P 1'
_symmetry_Int_Tables_number 1
_symmetry_space_group_name_Hall 'P 1'
_cell_length_a 5.438
_cell_length_b 5.438
_cell_length_c 8.156
_cell_angle_alpha 90.00
_cell_angle_beta 90.00
_cell_angle_gamma 90.00
loop_
_atom_site_label
_atom_site_type_symbol
_atom_site_fract_x
_atom_site_fract_y
_atom_site_fract_z
_atom_site_occupancy
K1 K 0.250 0.250 0.130 1
K2 K 0.750 0.750 0.870 1
Tb1 Tb 0.250 0.750 0.500 1
Tb2 Tb 0.750 0.250 0.500 1
Sn1 Sn 0.250 0.250 0.686 1
Sn2 Sn 0.750 0.750 0.314 1
```

Properties
Energy relative to the elements: -360 meV/atom
Symmetry: P4/nmm (129)


# 4
KTbSn2 | PBE | relaxed

Cell and atoms, written as CIF:
```
data_KTbSn2
_symmetry_space_group_name_H-M 'P 1'
_symmetry_Int_Tables_number 1
_symmetry_space_group_name_Hall 'P 1'
_cell_length_a 4.093
_cell_length_b 4.093
_cell_length_c 7.881
_cell_angle_alpha 90.00
_cell_angle_beta 90.00
_cell_angle_gamma 90.00
loop_
_atom_site_label
_atom_site_type_symbol
_atom_site_fract_x
_atom_site_fract_y
_atom_site_fract_z
_atom_site_occupancy
K1 K 0.000 0.000 0.000 1
Tb1 Tb 0.000 0.000 0.500 1
Sn1 Sn 0.500 0.500 0.313 1
Sn2 Sn 0.500 0.500 0.687 1
```

Properties
Energy relative to the elements: -422 meV/atom
Symmetry: P4/mmm (123)


# 5
K2TbSnTe4 | PBE | relaxed

Cell and atoms, written as CIF:
```
data_K2TbSnTe4
_symmetry_space_group_name_H-M 'P 1'
_symmetry_Int_Tables_number 1
_symmetry_space_group_name_Hall 'P 1'
_cell_length_a 7.897
_cell_length_b 4.459
_cell_length_c 8.657
_cell_angle_alpha 90.00
_cell_angle_beta 107.08
_cell_angle_gamma 90.00
loop_
_atom_site_label
_atom_site_type_symbol
_atom_site_fract_x
_atom_site_fract_y
_atom_site_fract_z
_atom_site_occupancy
K1 K 0.000 0.000 0.000 1
K2 K 0.500 0.500 0.000 1
Tb1 Tb 0.000 0.500 0.500 1
Sn1 Sn 0.500 0.000 0.500 1
Te1 Te 0.236 0.000 0.707 1
Te2 Te 0.264 0.500 0.294 1
Te3 Te 0.736 0.500 0.706 1
Te4 Te 0.764 0.000 0.293 1
```

Properties
Symmetry: P2/m (10)
Formation energy from raw total energies: -0.9649 eV per atom


# 6
K3Tb3SnTe8 | PBE | relaxed

Cell and atoms, written as CIF:
```
data_K3Tb3SnTe8
_symmetry_space_group_name_H-M 'P 1'
_symmetry_Int_Tables_number 1
_symmetry_space_group_name_Hall 'P 1'
_cell_length_a 8.864
_cell_length_b 8.864
_cell_length_c 9.892
_cell_angle_alpha 116.70
_cell_angle_beta 116.70
_cell_angle_gamma 59.87
loop_
_atom_site_label
_atom_site_type_symbol
_atom_site_fract_x
_atom_site_fract_y
_atom_site_fract_z
_atom_site_occupancy
K1 K 0.000 0.000 0.000 1
K2 K 0.000 0.500 0.000 1
K3 K 0.500 0.000 0.000 1
Tb1 Tb 0.000 0.500 0.500 1
Tb2 Tb 0.500 0.000 0.500 1
Tb3 Tb 0.500 0.500 0.500 1
Sn1 Sn 0.000 0.000 0.500 1
Te1 Te 0.232 0.232 0.704 1
Te2 Te 0.232 0.741 0.704 1
Te3 Te 0.259 0.768 0.296 1
Te4 Te 0.264 0.264 0.291 1
Te5 Te 0.736 0.736 0.709 1
Te6 Te 0.741 0.232 0.704 1
Te7 Te 0.768 0.259 0.296 1
Te8 Te 0.768 0.768 0.296 1
```

Properties
Symmetry: C2/m (12)
Formation energy from raw total energies: -1.1122 eV per atom


# 7
KTb2Sn3Te6 | PBE | relaxed

Cell and atoms, written as CIF:
```
data_KTb2Sn3Te6
_symmetry_space_group_name_H-M 'P 1'
_symmetry_Int_Tables_number 1
_symmetry_space_group_name_Hall 'P 1'
_cell_length_a 10.153
_cell_length_b 10.153
_cell_length_c 9.390
_cell_angle_alpha 103.20
_cell_angle_beta 103.20
_cell_angle_gamma 25.28
loop_
_atom_site_label
_atom_site_type_symbol
_atom_site_fract_x
_atom_site_fract_y
_atom_site_fract_z
_atom_site_occupancy
K1 K 0.000 0.000 0.000 1
Tb1 Tb 0.330 0.330 0.652 1
Tb2 Tb 0.670 0.670 0.348 1
Sn1 Sn 0.000 0.000 0.500 1
Sn2 Sn 0.343 0.343 0.153 1
Sn3 Sn 0.657 0.657 0.847 1
Te1 Te 0.168 0.168 0.586 1
Te2 Te 0.181 0.181 0.113 1
Te3 Te 0.489 0.489 0.728 1
Te4 Te 0.511 0.511 0.272 1
Te5 Te 0.819 0.819 0.887 1
Te6 Te 0.832 0.832 0.414 1
```

Properties
Symmetry: C2/m (12)
Formation energy from raw total energies: -0.7421 eV per atom


# 8
KTbSnTe3 | PBE | relaxed

Cell and atoms, written as CIF:
```
data_KTbSnTe3
_symmetry_space_group_name_H-M 'P 1'
_symmetry_Int_Tables_number 1
_symmetry_space_group_name_Hall 'P 1'
_cell_length_a 8.957
_cell_length_b 8.957
_cell_length_c 12.722
_cell_angle_alpha 90.00
_cell_angle_beta 90.00
_cell_angle_gamma 151.65
loop_
_atom_site_label
_atom_site_type_symbol
_atom_site_fract_x
_atom_site_fract_y
_atom_site_fract_z
_atom_site_occupancy
K1 K 0.191 0.809 0.750 1
K2 K 0.809 0.191 0.250 1
Tb1 Tb 0.500 0.500 0.000 1
Tb2 Tb 0.500 0.500 0.500 1
Sn1 Sn 0.115 0.885 0.250 1
Sn2 Sn 0.885 0.115 0.750 1
Te1 Te 0.124 0.876 0.003 1
Te2 Te 0.124 0.876 0.497 1
Te3 Te 0.500 0.500 0.250 1
Te4 Te 0.500 0.500 0.750 1
Te5 Te 0.876 0.124 0.503 1
Te6 Te 0.876 0.124 0.997 1
```

Properties
Symmetry: Cmcm (63)
Formation energy from raw total energies: -0.8749 eV per atom


# 9
K4Tb3SnTe8 | PBE | relaxed

Cell and atoms, written as CIF:
```
data_K4Tb3SnTe8
_symmetry_space_group_name_H-M 'P 1'
_symmetry_Int_Tables_number 1
_symmetry_space_group_name_Hall 'P 1'
_cell_length_a 9.751
_cell_length_b 9.751
_cell_length_c 9.751
_cell_angle_alpha 55.24
_cell_angle_beta 55.24
_cell_angle_gamma 55.24
loop_
_atom_site_label
_atom_site_type_symbol
_atom_site_fract_x
_atom_site_fract_y
_atom_site_fract_z
_atom_site_occupancy
K1 K 0.000 0.000 0.000 1
K2 K 0.000 0.500 0.500 1
K3 K 0.500 0.000 0.500 1
K4 K 0.500 0.500 0.000 1
Tb1 Tb 0.000 0.000 0.500 1
Tb2 Tb 0.000 0.500 0.000 1
Tb3 Tb 0.500 0.000 0.000 1
Sn1 Sn 0.500 0.500 0.500 1
Te1 Te 0.236 0.735 0.735 1
Te2 Te 0.237 0.237 0.237 1
Te3 Te 0.265 0.265 0.764 1
Te4 Te 0.265 0.764 0.265 1
Te5 Te 0.735 0.236 0.735 1
Te6 Te 0.735 0.735 0.236 1
Te7 Te 0.763 0.763 0.763 1
Te8 Te 0.764 0.265 0.265 1
```

Properties
Symmetry: R-3m (166)
Formation energy from raw total energies: -1.1826 eV per atom


# 10
K3TcSn | PBE | relaxed

Cell and atoms, written as CIF:
```
data_K3TcSn
_symmetry_space_group_name_H-M 'P 1'
_symmetry_Int_Tables_number 1
_symmetry_space_group_name_Hall 'P 1'
_cell_length_a 6.725
_cell_length_b 6.725
_cell_length_c 6.725
_cell_angle_alpha 90.00
_cell_angle_beta 90.00
_cell_angle_gamma 90.00
loop_
_atom_site_label
_atom_site_type_symbol
_atom_site_fract_x
_atom_site_fract_y
_atom_site_fract_z
_atom_site_occupancy
K1 K 0.000 0.000 0.500 1
K2 K 0.000 0.500 0.000 1
K3 K 0.500 0.000 0.000 1
Tc1 Tc 0.500 0.500 0.500 1
Sn1 Sn 0.000 0.000 0.000 1
```

Properties
Energy relative to the elements: 1205 meV/atom
Symmetry: Pm-3m (221)


# 11
KTc3Sn | PBE | relaxed

Cell and atoms, written as CIF:
```
data_KTc3Sn
_symmetry_space_group_name_H-M 'P 1'
_symmetry_Int_Tables_number 1
_symmetry_space_group_name_Hall 'P 1'
_cell_length_a 5.153
_cell_length_b 5.153
_cell_length_c 5.153
_cell_angle_alpha 90.00
_cell_angle_beta 90.00
_cell_angle_gamma 90.00
loop_
_atom_site_label
_atom_site_type_symbol
_atom_site_fract_x
_atom_site_fract_y
_atom_site_fract_z
_atom_site_occupancy
K1 K 0.000 0.000 0.000 1
Tc1 Tc 0.000 0.500 0.500 1
Tc2 Tc 0.500 0.000 0.500 1
Tc3 Tc 0.500 0.500 0.000 1
Sn1 Sn 0.500 0.500 0.500 1
```

Properties
Energy relative to the elements: 1950 meV/atom
Symmetry: Pm-3m (221)


Magnetization for the records above, in order: 0.00; 2.96; 0.00; 0.00; 0.00; 0.00; 0.00; 0.00; 0.00; 6.00; 7.75 μB per formula unit